one:
LaAsOsSe2, optimized geometry, DFT PBE-GGA; calculated volume = 37.1 Å³ per atom; Fermi-level density of states = 8.9 states/eV/f.u.; magnetic moment = 3.52 μB per cell; crystal system = tetragonal
1.0
-4.387 -3.489 0.483
3.469 -4.145 1.560
-0.637 1.579 5.612
Se As La Os
2 1 1 1
direct
0.500 0.000 0.000
0.000 0.500 0.000
0.000 0.000 0.500
0.000 0.000 0.000
0.500 0.500 0.500



two:
LaAsOsSe2, optimized geometry, DFT PBE-GGA; calculated volume = 24.4 Å³ per atom; Fermi-level density of states = 3.5 states/eV/f.u.; magnetic moment = 0.00 μB per cell; crystal system = tetragonal
1.0
5.169 0.000 0.000
0.000 5.169 0.000
0.000 0.000 4.559
Se As La Os
2 1 1 1
direct
0.000 0.500 0.000
0.500 0.000 0.000
0.000 0.000 0.500
0.500 0.500 0.500
0.000 0.000 0.000



Of them, the most stable is two and the least stable is one.



one:
LaAs3P, optimized geometry, DFT PBE-GGA; calculated volume = 22.9 Å³ per atom; Fermi-level density of states = 3.1 states/eV/f.u.; magnetic moment = 0.00 μB per cell; crystal system = cubic
1.0
-0.126 -4.241 2.364
4.181 -1.298 -2.105
2.470 1.980 3.684
As P La
3 1 1
direct
0.000 0.000 0.500
0.000 0.500 0.000
0.500 0.000 0.000
0.000 0.000 0.000
0.500 0.500 0.500



two:
LaAs3P, optimized geometry, DFT PBE-GGA; calculated volume = 35.7 Å³ per atom; Fermi-level density of states = 8.0 states/eV/f.u.; magnetic moment = 0.00 μB per cell; crystal system = cubic
1.0
5.628 0.000 0.000
0.000 5.628 0.000
0.000 0.000 5.628
As La P
3 1 1
direct
0.000 0.000 0.500
0.000 0.500 0.000
0.500 0.000 0.000
0.000 0.000 0.000
0.500 0.500 0.500



Of them, the most stable is one and the least stable is two.



one:
La4AsP2, optimized geometry, DFT PBE-GGA; calculated volume = 29.3 Å³ per atom; Fermi-level density of states = 4.5 states/eV/f.u.; magnetic moment = 0.16 μB per cell; crystal system = orthorhombic
1.0
4.240 0.000 0.000
-2.120 6.986 0.000
0.000 0.000 13.857
La As P
8 2 4
direct
0.050 0.101 0.250
0.774 0.547 0.377
0.500 0.000 0.000
0.226 0.453 0.877
0.500 0.000 0.500
0.950 0.899 0.750
0.226 0.453 0.623
0.774 0.547 0.123
0.603 0.205 0.750
0.397 0.795 0.250
0.139 0.278 0.438
0.861 0.722 0.562
0.139 0.278 0.062
0.861 0.722 0.938



two:
La4AsP2, optimized geometry, DFT PBE-GGA; calculated volume = 33.7 Å³ per atom; Fermi-level density of states = 7.4 states/eV/f.u.; magnetic moment = 0.00 μB per cell; crystal system = tetragonal
1.0
-3.472 -3.412 -2.734
3.401 0.087 -4.427
3.691 -7.655 -0.834
La P As
4 2 1
direct
0.200 0.200 0.599
0.000 0.500 0.000
0.500 0.000 0.000
0.800 0.800 0.401
0.619 0.619 0.763
0.381 0.381 0.237
0.000 0.000 0.000



Of them, the most stable is one and the least stable is two.



one:
La2AsP2, optimized geometry, DFT PBE-GGA; calculated volume = 23.9 Å³ per atom; Fermi-level density of states = 2.1 states/eV/f.u.; magnetic moment = 0.00 μB per cell; crystal system = tetragonal
1.0
-0.025 -7.597 -0.953
4.575 0.750 -6.093
3.265 -0.313 2.413
La P As
4 4 2
direct
0.342 0.158 0.500
0.658 0.842 0.500
0.842 0.342 0.500
0.158 0.658 0.500
0.845 0.655 0.000
0.345 0.845 0.000
0.155 0.345 0.000
0.655 0.155 0.000
0.500 0.500 0.000
0.000 0.000 0.000



two:
La2AsP2, optimized geometry, DFT PBE-GGA; calculated volume = 23.8 Å³ per atom; Fermi-level density of states = 2.1 states/eV/f.u.; magnetic moment = 0.00 μB per cell; crystal system = tetragonal
1.0
-3.011 2.089 1.137
-1.221 -2.931 2.154
2.188 2.380 7.897
P La As
2 2 1
direct
0.250 0.750 0.500
0.750 0.250 0.500
0.607 0.607 0.786
0.393 0.393 0.214
0.000 0.000 0.000



Of them, the most stable is two and the least stable is one.



one:
LaAsP2S, optimized geometry, DFT PBE-GGA; calculated volume = 32.9 Å³ per atom; Fermi-level density of states = 9.3 states/eV/f.u.; magnetic moment = 0.89 μB per cell; crystal system = tetragonal
1.0
-5.497 0.913 -0.135
-0.615 -3.016 4.647
0.653 4.365 2.920
La S P As
1 1 2 1
direct
0.000 0.000 0.000
0.000 0.000 0.500
0.500 0.000 0.000
0.000 0.500 0.000
0.500 0.500 0.500



two:
LaAsP2S, optimized geometry, DFT PBE-GGA; calculated volume = 22.1 Å³ per atom; Fermi-level density of states = 3.7 states/eV/f.u.; magnetic moment = 0.00 μB per cell; crystal system = tetragonal
1.0
4.698 0.000 0.000
0.000 4.698 0.000
0.000 0.000 5.008
P S La As
2 1 1 1
direct
0.000 0.500 0.000
0.500 0.000 0.000
0.000 0.000 0.500
0.500 0.500 0.500
0.000 0.000 0.000



Of them, the most stable is two and the least stable is one.



one:
LaAsPSe2, optimized geometry, DFT PBE-GGA; calculated volume = 40.0 Å³ per atom; Fermi-level density of states = 7.7 states/eV/f.u.; magnetic moment = 0.22 μB per cell; crystal system = tetragonal
1.0
-0.272 4.824 -3.068
-1.659 -3.006 -4.579
-5.832 0.716 1.643
Se La As P
2 1 1 1
direct
0.000 0.500 0.000
0.500 0.000 0.000
0.000 0.000 0.000
0.000 0.000 0.500
0.500 0.500 0.500



two:
LaAsPSe2, optimized geometry, DFT PBE-GGA; calculated volume = 23.6 Å³ per atom; Fermi-level density of states = 1.9 states/eV/f.u.; magnetic moment = 0.00 μB per cell; crystal system = tetragonal
1.0
4.983 0.000 0.000
0.000 4.983 0.000
0.000 0.000 4.755
Se P As La
2 1 1 1
direct
0.500 0.000 0.000
0.000 0.500 0.000
0.000 0.000 0.000
0.000 0.000 0.500
0.500 0.500 0.500



Of them, the most stable is two and the least stable is one.



one:
La3PaAs4, optimized geometry, DFT PBE-GGA; calculated volume = 28.0 Å³ per atom; Fermi-level density of states = 5.8 states/eV/f.u.; magnetic moment = 0.17 μB per cell; crystal system = orthorhombic
1.0
-1.598 2.876 2.750
4.664 -2.436 5.256
3.254 5.477 -3.837
As La Pa
4 3 1
direct
0.000 0.766 0.766
0.000 0.234 0.234
0.500 0.760 0.240
0.500 0.240 0.760
0.500 0.500 0.500
0.000 0.000 0.500
0.000 0.500 0.000
0.500 0.000 0.000



two:
La3PaAs4, optimized geometry, DFT PBE-GGA; calculated volume = 27.9 Å³ per atom; Fermi-level density of states = 5.5 states/eV/f.u.; magnetic moment = 0.19 μB per cell; crystal system = tetragonal
1.0
5.543 0.000 -2.460
-1.092 5.434 -2.460
-0.016 -0.019 7.439
As Pa La
4 1 3
direct
0.500 0.000 0.000
0.763 0.763 0.527
0.000 0.500 0.000
0.237 0.237 0.473
0.000 0.000 0.000
0.750 0.250 0.500
0.500 0.500 0.000
0.250 0.750 0.500



Of them, the most stable is one and the least stable is two.



one:
LaAsPb, optimized geometry, DFT PBE-GGA; calculated volume = 32.9 Å³ per atom; Fermi-level density of states = 2.2 states/eV/f.u.; magnetic moment = 0.00 μB per cell; crystal system = cubic
1.0
-3.535 -3.554 1.340
0.087 -4.701 -2.194
1.412 -4.140 2.791
As Pb La
1 1 1
direct
0.500 0.500 0.500
0.000 0.000 0.000
0.750 0.750 0.750



two:
LaAsPb, optimized geometry, DFT PBE-GGA; calculated volume = 29.0 Å³ per atom; Fermi-level density of states = 1.8 states/eV/f.u.; magnetic moment = 0.00 μB per cell; crystal system = trigonal
1.0
-2.947 3.813 1.089
0.434 -1.530 -4.678
-3.148 -2.592 0.556
Pb La As
1 1 1
direct
0.333 0.667 0.801
0.667 0.333 0.327
0.000 0.000 0.871



Of them, the most stable is two and the least stable is one.



one:
LaAsPb, optimized geometry, DFT PBE-GGA; calculated volume = 32.2 Å³ per atom; Fermi-level density of states = 0.4 states/eV/f.u.; magnetic moment = 0.00 μB per cell; crystal system = trigonal
1.0
-0.719 -1.109 -5.156
-2.425 -4.515 -1.438
-8.010 1.809 -2.020
La As Pb
2 2 2
direct
0.598 0.598 0.205
0.402 0.402 0.795
0.278 0.278 0.166
0.722 0.722 0.834
0.158 0.158 0.527
0.842 0.842 0.473



two:
LaAsPb, optimized geometry, DFT PBE-GGA; calculated volume = 28.7 Å³ per atom; Fermi-level density of states = 1.4 states/eV/f.u.; magnetic moment = 0.00 μB per cell; crystal system = tetragonal
1.0
6.429 0.012 -0.014
5.271 3.681 -0.011
1.158 0.363 3.651
As La Pb
1 1 1
direct
0.990 0.990 0.010
0.367 0.367 0.633
0.643 0.643 0.357



Of them, the most stable is one and the least stable is two.



one:
La2AsPb2, optimized geometry, DFT PBE-GGA; calculated volume = 33.0 Å³ per atom; Fermi-level density of states = 4.2 states/eV/f.u.; magnetic moment = 0.00 μB per cell; crystal system = tetragonal
1.0
-2.954 6.452 3.816
-2.745 -4.748 5.902
4.403 0.545 2.486
As La Pb
2 4 4
direct
0.000 0.000 0.000
0.500 0.500 0.000
0.672 0.172 0.000
0.828 0.672 0.000
0.328 0.828 0.000
0.172 0.328 0.000
0.363 0.137 0.500
0.137 0.637 0.500
0.637 0.863 0.500
0.863 0.363 0.500



two:
La2AsPb2, optimized geometry, DFT PBE-GGA; calculated volume = 31.0 Å³ per atom; Fermi-level density of states = 3.2 states/eV/f.u.; magnetic moment = 0.00 μB per cell; crystal system = tetragonal
1.0
8.089 0.000 0.000
0.000 8.089 0.000
0.000 0.000 4.736
Pb La As
4 4 2
direct
0.365 0.865 0.000
0.635 0.135 0.000
0.865 0.635 0.000
0.135 0.365 0.000
0.328 0.172 0.500
0.672 0.828 0.500
0.828 0.328 0.500
0.172 0.672 0.500
0.000 0.000 0.000
0.500 0.500 0.000



Of them, the most stable is one and the least stable is two.



one:
La2AsPb, optimized geometry, DFT PBE-GGA; calculated volume = 30.8 Å³ per atom; Fermi-level density of states = 2.4 states/eV/f.u.; magnetic moment = 0.00 μB per cell; crystal system = monoclinic
1.0
6.373 0.003 -0.013
4.829 4.159 -0.013
0.392 0.146 4.643
As Pb La
1 1 2
direct
0.731 0.731 0.897
0.526 0.526 0.356
0.252 0.252 0.383
0.991 0.991 0.865



two:
La2AsPb, optimized geometry, DFT PBE-GGA; calculated volume = 28.8 Å³ per atom; Fermi-level density of states = 3.7 states/eV/f.u.; magnetic moment = 0.28 μB per cell; crystal system = monoclinic
1.0
5.381 0.016 -0.005
-1.136 5.260 -0.005
0.015 0.018 4.067
Pb As La
1 1 2
direct
0.500 0.000 0.500
0.000 0.500 0.500
0.000 0.000 0.000
0.500 0.500 0.000



Of them, the most stable is one and the least stable is two.



one:
LaAsPb3, optimized geometry, DFT PBE-GGA; calculated volume = 34.6 Å³ per atom; Fermi-level density of states = 4.9 states/eV/f.u.; magnetic moment = 0.00 μB per cell; crystal system = cubic
1.0
-5.329 0.516 -1.536
1.006 -3.085 -4.527
-1.270 -4.608 2.858
As Pb La
1 3 1
direct
0.000 0.000 0.000
0.500 0.000 0.000
0.000 0.000 0.500
0.000 0.500 0.000
0.500 0.500 0.500



two:
LaAsPb3, optimized geometry, DFT PBE-GGA; calculated volume = 44.7 Å³ per atom; Fermi-level density of states = 7.5 states/eV/f.u.; magnetic moment = 0.00 μB per cell; crystal system = cubic
1.0
-4.338 0.968 -4.133
1.357 -5.282 -2.662
-4.022 -2.827 3.559
Pb As La
3 1 1
direct
0.000 0.000 0.500
0.500 0.000 0.000
0.000 0.500 0.000
0.500 0.500 0.500
0.000 0.000 0.000



Of them, the most stable is one and the least stable is two.



one:
LaAs2Pd4, optimized geometry, DFT PBE-GGA; calculated volume = 18.7 Å³ per atom; Fermi-level density of states = 3.2 states/eV/f.u.; magnetic moment = 0.00 μB per cell; crystal system = orthorhombic
1.0
-0.066 -2.564 3.621
-2.779 -2.739 -1.991
6.589 -2.160 -1.408
As Pd La
2 4 1
direct
0.500 0.404 0.808
0.500 0.596 0.192
0.500 0.819 0.637
0.500 0.181 0.363
0.000 0.321 0.641
0.000 0.679 0.359
0.000 0.000 0.000



two:
LaAs2Pd4, optimized geometry, DFT PBE-GGA; calculated volume = 18.2 Å³ per atom; Fermi-level density of states = 3.8 states/eV/f.u.; magnetic moment = 0.00 μB per cell; crystal system = tetragonal
1.0
4.101 0.000 0.000
0.000 7.878 0.000
0.000 0.000 7.878
Pd As La
8 4 2
direct
0.500 0.156 0.592
0.500 0.408 0.844
0.000 0.092 0.344
0.000 0.656 0.908
0.000 0.344 0.092
0.000 0.908 0.656
0.500 0.844 0.408
0.500 0.592 0.156
0.000 0.219 0.781
0.000 0.781 0.219
0.500 0.719 0.719
0.500 0.281 0.281
0.000 0.500 0.500
0.500 0.000 0.000



Of them, the most stable is two and the least stable is one.